Record 1
Entry from the Alexandria database: crystalline Sm4Tm3Cd at its relaxed geometry (GGA-PBE).

extended XYZ file:
```
8
Lattice="3.594 0.000 0.000 0.000 3.594 0.000 0.000 0.000 19.136" Properties=species:S:1:pos:R:3 pbc="T T T"
Sm 0.000 0.000 2.130
Sm 0.000 0.000 7.098
Sm 0.000 0.000 12.038
Sm 0.000 0.000 17.007
Tm 1.797 1.797 4.618
Tm 1.797 1.797 9.568
Tm 1.797 1.797 14.519
Cd 1.797 1.797 0.000
```

Output
ΔH_f (0 K) = -0.056 eV per atom
magnetization = 0.0 μB/f.u.
DOS at the Fermi energy = 11.12 states/eV per cell

Record 2
Entry from the Alexandria database: crystalline LuCuRu at its relaxed geometry (GGA-PBE).

extended XYZ file:
```
6
Lattice="3.347 0.000 0.000 0.000 3.347 0.000 0.000 0.000 9.032" Properties=species:S:1:pos:R:3 pbc="T T T"
Lu 0.000 0.000 0.000
Lu 1.674 1.674 4.516
Cu 0.000 0.000 6.243
Cu 1.674 1.674 1.726
Ru 0.000 0.000 2.898
Ru 1.674 1.674 7.415
```

Output
ΔH_f (0 K) = -0.159 eV per atom
magnetization = 0.0 μB/f.u.
DOS at the Fermi energy = 3.72 states/eV per cell

Record 3
Entry from the Alexandria database: crystalline Li5DyTl6 at its relaxed geometry (GGA-PBE).

extended XYZ file:
```
12
Lattice="4.894 0.000 0.000 0.000 7.367 0.000 -2.440 0.000 7.425" Properties=species:S:1:pos:R:3 pbc="T T T"
Li 0.000 0.000 0.000
Li 0.006 0.000 4.878
Li 0.007 3.684 4.925
Li 2.447 3.684 2.500
Li 2.449 0.000 2.547
Dy 0.000 3.684 0.000
Tl 0.005 1.798 2.547
Tl 0.005 5.570 2.547
Tl 2.447 1.648 0.000
Tl 2.447 5.719 0.000
Tl 2.449 1.798 4.878
Tl 2.449 5.570 4.878
```

Output
ΔH_f (0 K) = -0.245 eV per atom
magnetization = 0.0 μB/f.u.
DOS at the Fermi energy = 4.18 states/eV per cell

Record 4
Entry from the Alexandria database: crystalline TbEuTl at its relaxed geometry (GGA-PBE).

extended XYZ file:
```
6
Lattice="3.811 0.000 0.000 0.000 3.811 0.000 0.000 0.000 13.232" Properties=species:S:1:pos:R:3 pbc="T T T"
Tb 0.000 0.000 0.000
Tb 1.905 1.905 6.616
Eu 0.000 0.000 9.242
Eu 1.905 1.905 2.625
Tl 0.000 0.000 4.767
Tl 1.905 1.905 11.383
```

Output
ΔH_f (0 K) = -0.207 eV per atom
magnetization = 8.2 μB/f.u.
DOS at the Fermi energy = 6.04 states/eV per cell

Record 5
Entry from the Alexandria database: crystalline KGaAu at its relaxed geometry (GGA-PBE).

extended XYZ file:
```
6
Lattice="3.686 0.000 0.000 0.000 3.686 0.000 0.000 0.000 11.962" Properties=species:S:1:pos:R:3 pbc="T T T"
K 0.000 0.000 0.000
K 1.843 1.843 5.981
Ga 0.000 0.000 3.330
Ga 1.843 1.843 9.311
Au 0.000 0.000 8.599
Au 1.843 1.843 2.618
```

Output
ΔH_f (0 K) = -0.210 eV per atom
magnetization = 0.0 μB/f.u.
DOS at the Fermi energy = 2.06 states/eV per cell

Record 6
Entry from the Alexandria database: crystalline Sb2P6Pd21 at its relaxed geometry (GGA-PBE).

extended XYZ file:
```
29
Lattice="0.000 6.081 6.081 6.081 0.000 6.081 6.081 6.081 0.000" Properties=species:S:1:pos:R:3 pbc="T T T"
Sb 3.040 3.040 3.040
Sb 9.121 9.121 9.121
P 6.081 6.081 2.892
P 6.081 2.892 6.081
P 9.269 6.081 6.081
P 2.892 6.081 6.081
P 6.081 9.269 6.081
P 6.081 6.081 9.269
Pd 1.442 1.442 1.442
Pd 4.639 4.639 1.442
Pd 4.639 1.442 4.639
Pd 6.081 3.994 3.994
Pd 8.167 6.081 3.994
Pd 8.167 3.994 6.081
Pd 10.719 7.522 7.522
Pd 3.994 6.081 3.994
Pd 6.081 8.167 3.994
Pd 3.994 3.994 6.081
Pd 6.081 6.081 6.081
Pd 8.167 8.167 6.081
Pd 6.081 3.994 8.167
Pd 8.167 6.081 8.167
Pd 1.442 4.639 4.639
Pd 3.994 8.167 6.081
Pd 3.994 6.081 8.167
Pd 6.081 8.167 8.167
Pd 7.522 10.719 7.522
Pd 7.522 7.522 10.719
Pd 10.719 10.719 10.719
```

Output
magnetization = 0.0 μB/f.u.
final energy = -5.621 eV per atom
DOS at the Fermi energy = 12.94 states/eV per cell

What is the formula in the fifth record?
KGaAu

The highest magnetization belongs to which entry?
TbEuTl